No. 1
# HoSc2Pd | Alexandria via LeMat-Bulk | PBE-GGA | relaxed
data_HoSc2Pd
_symmetry_space_group_name_H-M 'P 1'
_symmetry_Int_Tables_number 1
_cell_length_a 4.819
_cell_length_b 4.819
_cell_length_c 5.237
_cell_angle_alpha 62.61
_cell_angle_beta 62.61
_cell_angle_gamma 60.00
loop_
_symmetry_equiv_pos_as_xyz
'x,y,z'
loop_
_atom_site_label
_atom_site_type_symbol
_atom_site_fract_x
_atom_site_fract_y
_atom_site_fract_z
Sc1 Sc 0.768 0.768 0.696
Sc2 Sc 0.232 0.232 0.304
Ho1 Ho 0.000 0.000 0.000
Pd1 Pd 0.500 0.500 0.500
# VASP energy (eV for the cell shown): -23.0
# Calculated volume (Å³/atom): 22.31
# DFT formation energy (kJ/mol of atoms): -15

***

No. 2
# Ho2ScPd9 | Alexandria via LeMat-Bulk | PBE-GGA | relaxed
data_Ho2ScPd9
_symmetry_space_group_name_H-M 'P 1'
_symmetry_Int_Tables_number 1
_cell_length_a 4.085
_cell_length_b 4.085
_cell_length_c 12.206
_cell_angle_alpha 90.00
_cell_angle_beta 90.00
_cell_angle_gamma 90.00
loop_
_symmetry_equiv_pos_as_xyz
'x,y,z'
loop_
_atom_site_label
_atom_site_type_symbol
_atom_site_fract_x
_atom_site_fract_y
_atom_site_fract_z
Ho1 Ho 0.000 0.000 0.330
Ho2 Ho 0.000 0.000 0.670
Sc1 Sc 0.000 0.000 0.000
Pd1 Pd 0.500 0.500 0.000
Pd2 Pd 0.500 0.500 0.330
Pd3 Pd 0.500 0.500 0.670
Pd4 Pd 0.500 0.000 0.160
Pd5 Pd 0.500 0.000 0.500
Pd6 Pd 0.500 0.000 0.840
Pd7 Pd 0.000 0.500 0.160
Pd8 Pd 0.000 0.500 0.500
Pd9 Pd 0.000 0.500 0.840
# VASP energy (eV for the cell shown): -72.6
# Calculated volume (Å³/atom): 16.97
# DFT formation energy (kJ/mol of atoms): -84

***

No. 3
# HoScPd2 | Alexandria via LeMat-Bulk | PBE-GGA | relaxed
data_HoScPd2
_symmetry_space_group_name_H-M 'P 1'
_symmetry_Int_Tables_number 1
_cell_length_a 3.535
_cell_length_b 4.579
_cell_length_c 10.077
_cell_angle_alpha 89.99
_cell_angle_beta 100.07
_cell_angle_gamma 90.00
loop_
_symmetry_equiv_pos_as_xyz
'x,y,z'
loop_
_atom_site_label
_atom_site_type_symbol
_atom_site_fract_x
_atom_site_fract_y
_atom_site_fract_z
Ho1 Ho 0.312 0.250 0.623
Ho2 Ho 0.688 0.750 0.377
Sc1 Sc 0.556 0.250 0.112
Sc2 Sc 0.444 0.750 0.888
Pd1 Pd 0.838 0.750 0.674
Pd2 Pd 0.162 0.250 0.326
Pd3 Pd 0.056 0.751 0.113
Pd4 Pd 0.944 0.249 0.887
# VASP energy (eV for the cell shown): -49.9
# Calculated volume (Å³/atom): 20.08
# DFT formation energy (kJ/mol of atoms): -88

***

No. 4
# Ho4ScPd2 | Alexandria via LeMat-Bulk | PBE-GGA | relaxed
data_Ho4ScPd2
_symmetry_space_group_name_H-M 'P 1'
_symmetry_Int_Tables_number 1
_cell_length_a 5.110
_cell_length_b 5.110
_cell_length_c 8.826
_cell_angle_alpha 73.17
_cell_angle_beta 73.17
_cell_angle_gamma 60.00
loop_
_symmetry_equiv_pos_as_xyz
'x,y,z'
loop_
_atom_site_label
_atom_site_type_symbol
_atom_site_fract_x
_atom_site_fract_y
_atom_site_fract_z
Ho1 Ho 0.712 0.712 0.863
Ho2 Ho 0.880 0.880 0.359
Ho3 Ho 0.288 0.288 0.137
Ho4 Ho 0.120 0.120 0.641
Sc1 Sc 0.500 0.500 0.500
Pd1 Pd 0.602 0.602 0.194
Pd2 Pd 0.398 0.398 0.806
# VASP energy (eV for the cell shown): -37.3
# Calculated volume (Å³/atom): 26.87
# DFT formation energy (kJ/mol of atoms): -31

***

No. 5
# HoSc2Pd | Alexandria via LeMat-Bulk | PBE-GGA | relaxed
data_HoSc2Pd
_symmetry_space_group_name_H-M 'P 1'
_symmetry_Int_Tables_number 1
_cell_length_a 4.633
_cell_length_b 5.981
_cell_length_c 7.411
_cell_angle_alpha 90.00
_cell_angle_beta 90.00
_cell_angle_gamma 112.82
loop_
_symmetry_equiv_pos_as_xyz
'x,y,z'
loop_
_atom_site_label
_atom_site_type_symbol
_atom_site_fract_x
_atom_site_fract_y
_atom_site_fract_z
Ho1 Ho 0.948 0.896 0.250
Ho2 Ho 0.052 0.104 0.750
Sc1 Sc 0.350 0.699 0.542
Sc2 Sc 0.650 0.301 0.458
Sc3 Sc 0.350 0.699 0.958
Sc4 Sc 0.650 0.301 0.042
Pd1 Pd 0.797 0.594 0.750
Pd2 Pd 0.203 0.406 0.250
# VASP energy (eV for the cell shown): -48.3
# Calculated volume (Å³/atom): 23.66
# DFT formation energy (kJ/mol of atoms): -42

***

No. 6
# Ho2ScPd4 | Alexandria via LeMat-Bulk | PBE-GGA | relaxed
data_Ho2ScPd4
_symmetry_space_group_name_H-M 'P 1'
_symmetry_Int_Tables_number 1
_cell_length_a 4.641
_cell_length_b 4.641
_cell_length_c 7.471
_cell_angle_alpha 85.10
_cell_angle_beta 85.10
_cell_angle_gamma 66.20
loop_
_symmetry_equiv_pos_as_xyz
'x,y,z'
loop_
_atom_site_label
_atom_site_type_symbol
_atom_site_fract_x
_atom_site_fract_y
_atom_site_fract_z
Ho1 Ho 0.699 0.699 0.700
Ho2 Ho 0.301 0.301 0.300
Sc1 Sc 0.000 0.000 0.000
Pd1 Pd 0.917 0.917 0.354
Pd2 Pd 0.083 0.083 0.646
Pd3 Pd 0.652 0.652 0.106
Pd4 Pd 0.348 0.348 0.894
# VASP energy (eV for the cell shown): -41.9
# Calculated volume (Å³/atom): 20.93
# DFT formation energy (kJ/mol of atoms): -77